(1)
A plane-wave DFT calculation with PBE was carried out for ZrBe2Br after structural relaxation.

a b c (Å): 8.092 8.092 8.092
angles (deg): 22.82 22.82 22.82
Positions (direct):
Be1 0.507 0.507 0.507
Be2 0.993 0.993 0.993
Br1 0.250 0.250 0.250
Zr1 0.750 0.750 0.750

Calculated values
Its total DFT energy (no corrections) is -0.1459 Ha/atom. For the energy relative to the elements, uncorrected, the calculation gives 1.80 eV/f.u. The size of the total moment comes out at 0.00 μB per atom. Its excess energy over the best structure of this formula in the dataset is 351.0 meV per atom. As for the symmetry: R-3m (166).

---

(2)
A plane-wave DFT calculation with PBE was carried out for ZrBe2Br after structural relaxation.

a b c (Å): 4.516 4.516 4.516
angles (deg): 60.00 60.00 60.00
Positions (direct):
Zr1 0.750 0.750 0.750
Be1 0.250 0.250 0.250
Be2 0.000 0.000 0.000
Br1 0.500 0.500 0.500

Calculated values
Its total DFT energy (no corrections) is -0.1411 Ha/atom. For the energy relative to the elements, uncorrected, the calculation gives 2.32 eV/f.u. The size of the total moment comes out at 0.00 μB per atom. Its excess energy over the best structure of this formula in the dataset is 480.9 meV per atom. As for the symmetry: F-43m (216).

---

(3)
A plane-wave DFT calculation with PBE was carried out for ZrBeBr2 after structural relaxation.

a b c (Å): 3.317 3.317 8.467
angles (deg): 90.00 90.00 90.00
Positions (direct):
Zr1 0.000 0.000 0.549
Be1 0.500 0.500 0.730
Br1 0.000 0.000 0.884
Br2 0.500 0.500 0.338

Calculated values
Its total DFT energy (no corrections) is -0.1580 Ha/atom. For the energy relative to the elements, uncorrected, the calculation gives -1.57 eV/f.u. The size of the total moment comes out at 0.00 μB per atom. Its excess energy over the best structure of this formula in the dataset is 119.9 meV per atom. As for the symmetry: P4mm (99).

---

(4)
A plane-wave DFT calculation with PBE was carried out for Zr3BeBr after structural relaxation.

a b c (Å): 4.809 4.809 4.809
angles (deg): 90.00 90.00 90.00
Positions (direct):
Zr1 0.000 0.500 0.000
Zr2 0.500 0.000 0.000
Zr3 0.000 0.000 0.500
Be1 0.000 0.000 0.000
Br1 0.500 0.500 0.500

Calculated values
Its total DFT energy (no corrections) is -0.2133 Ha/atom. For the energy relative to the elements, uncorrected, the calculation gives 2.02 eV/f.u. The size of the total moment comes out at 0.00 μB per atom. Its excess energy over the best structure of this formula in the dataset is 0.0 meV per atom. As for the symmetry: Pm-3m (221).

---

(5)
A plane-wave DFT calculation with PBE was carried out for ZrBe2Br after structural relaxation.

a b c (Å): 3.049 3.049 8.558
angles (deg): 90.00 90.00 90.00
Positions (direct):
Zr1 0.500 0.500 0.795
Br1 0.000 0.000 0.575
Be1 0.500 0.500 0.114
Be2 0.000 0.000 0.016

Calculated values
Its total DFT energy (no corrections) is -0.1588 Ha/atom. For the energy relative to the elements, uncorrected, the calculation gives 0.39 eV/f.u. The size of the total moment comes out at 0.00 μB per atom. Its excess energy over the best structure of this formula in the dataset is 0.0 meV per atom. As for the symmetry: P4mm (99).

---

(6)
A plane-wave DFT calculation with PBE was carried out for ZrBe2Br after structural relaxation.

a b c (Å): 3.817 3.156 5.889
angles (deg): 90.00 90.00 90.00
Positions (direct):
Be1 0.000 0.251 0.013
Be2 0.500 0.250 0.155
Zr1 0.500 0.750 0.817
Br1 0.000 0.250 0.515

Calculated values
Its total DFT energy (no corrections) is -0.1561 Ha/atom. For the energy relative to the elements, uncorrected, the calculation gives 0.68 eV/f.u. The size of the total moment comes out at 0.00 μB per atom. Its excess energy over the best structure of this formula in the dataset is 72.0 meV per atom. As for the symmetry: Pmm2 (25).

---

Look up the total DFT energy (no corrections) of the sixth one. -0.1561 Ha/atom